# ZrFeN

ZrFeN after structural relaxation (PBE, the Alexandria database).

Output
ΔE to the lowest computed polymorph = 0.212 eV/atom
Formation energy (no corrections) = -0.6868 eV/atom
Size of the total moment = 0.00 μB per cell
N(E_F) = 0.68 states/eV per atom
Calculated density = 7.060 g/cm³
Electronic total energy = -54.793 eV/cell

a b c (Å): 4.6802 3.0996 5.3899
angles (deg): 90.00 104.28 90.00
Space group Pm (No. 6)
Asymmetric unit:
Zr (0.0000, 0.0000, 0.0000) x1
Zr (0.3697, 0.5000, 0.5911) x1
Fe (0.5257, 0.5000, 0.0970) x1
Fe (0.8526, 0.0000, 0.4611) x1
N (0.4660, 0.0000, 0.9017) x1
N (0.9161, 0.5000, 0.2965) x1